No. 1
Density functional theory data (PBE) for DyTl3Bi2S6 after structural relaxation.

- size of the total moment (μB per atom) = 0.000
- total DFT energy (no corrections) (eV/atom) = -4.462
- E_form (uncorrected) (eV/atom) = -0.78

Cell: 7.128 7.128 7.830 Å, 98.72 98.72 120.00°
Atoms (fractional coordinates):
Dy1 0.000 0.000 0.000
Tl1 0.167 0.833 0.500
Tl2 0.833 0.167 0.500
Tl3 0.500 0.500 0.500
Bi1 0.333 0.667 0.000
Bi2 0.667 0.333 0.000
S1 0.932 0.607 0.795
S2 0.744 0.744 0.205
S3 0.068 0.393 0.205
S4 0.607 0.932 0.795
S5 0.256 0.256 0.795
S6 0.393 0.068 0.205

=====

No. 2
Density functional theory data (PBE) for Er3Tl4Te8Pb after structural relaxation.

- size of the total moment (μB per atom) = 0.000
- total DFT energy (no corrections) (eV/atom) = -4.091
- E_form (uncorrected) (eV/atom) = -0.84

Cell: 9.009 9.486 9.009 Å, 118.36 120.00 90.00°
Atoms (fractional coordinates):
Er1 0.500 0.500 0.000
Er2 0.500 0.500 0.500
Er3 0.000 0.500 0.500
Tl1 0.500 0.000 0.000
Tl2 0.500 0.000 0.500
Tl3 0.000 0.000 0.000
Tl4 0.000 0.000 0.500
Te1 0.247 0.719 0.971
Te2 0.247 0.719 0.495
Te3 0.262 0.286 0.524
Te4 0.724 0.719 0.971
Te5 0.276 0.281 0.029
Te6 0.738 0.714 0.476
Te7 0.753 0.281 0.505
Te8 0.753 0.281 0.029
Pb1 0.000 0.500 0.000

=====

No. 3
Density functional theory data (PBE) for Th2ZnIr after structural relaxation.

- size of the total moment (μB per atom) = 0.000
- total DFT energy (no corrections) (eV/atom) = -6.349
- formation energy (eV per atom) = -0.105

Cell: 4.138 4.138 9.711 Å, 77.70 77.70 60.00°
Atoms (fractional coordinates):
Zn1 0.000 0.000 0.000
Ir1 0.500 0.500 0.500
Th1 0.112 0.112 0.663
Th2 0.888 0.888 0.337

=====

No. 4
Density functional theory data (PBE) for CaSiPt4 after structural relaxation.

- size of the total moment (μB per atom) = 0.000
- ΔE to the lowest computed polymorph (eV per atom) = 0.316
- total DFT energy (no corrections) (eV/atom) = -5.655
- E_form (uncorrected) (eV/atom) = -0.39

Cell: 5.355 5.355 5.355 Å, 60.00 60.00 60.00°
Atoms (fractional coordinates):
Ca1 0.000 0.000 0.000
Si1 0.750 0.750 0.750
Pt1 0.874 0.375 0.375
Pt2 0.375 0.375 0.874
Pt3 0.375 0.874 0.375
Pt4 0.375 0.375 0.375